(1)
Compound: Ba2YCl2O2
Source: Alexandria via LeMat-Bulk
Functional: PBE-GGA
Structure: relaxed

The structure in POSCAR format:
```
Ba2YCl2O2
1.0
4.5342 0.0000 0.0000
0.0000 4.5342 0.0000
-2.2671 -2.2671 8.0318
O Cl Ba Y
2 2 2 1
Direct
0.5000 0.0000 0.0000
0.0000 0.5000 0.0000
0.8212 0.8212 0.6425
0.1788 0.1788 0.3575
0.3835 0.3835 0.7670
0.6165 0.6165 0.2330
0.0000 0.0000 0.0000
```

Output
DOS at the Fermi energy: 4.09 states/eV per cell
crystal system: tetragonal
uncorrected formation energy: -243.1 kJ/mol of atoms
total magnetic moment: 0.69 μB per formula unit
calculated total energy: -41.56 eV per cell



(2)
Compound: Ba3Zn2Cl2O4
Source: Alexandria via LeMat-Bulk
Functional: PBE-GGA
Structure: relaxed

The structure in POSCAR format:
```
Ba3Zn2Cl2O4
1.0
-2.0375 3.0872 -2.0523
-3.6464 -1.2470 1.7443
4.7361 6.4780 9.4024
Ba O Zn Cl
3 4 2 2
Direct
0.1527 0.1527 0.3055
0.8473 0.8473 0.6945
0.0000 0.0000 0.0000
0.9208 0.4208 0.8416
0.4208 0.9208 0.8416
0.5792 0.0792 0.1584
0.0792 0.5792 0.1584
0.4177 0.4177 0.8354
0.5823 0.5823 0.1646
0.7008 0.7008 0.4016
0.2992 0.2992 0.5984
```

Output
DOS at the Fermi energy: 0.21 states/eV per cell
crystal system: tetragonal
uncorrected formation energy: -199.6 kJ/mol of atoms
total magnetic moment: 0.00 μB per formula unit
calculated total energy: -54.59 eV per cell



(3)
Compound: BaOsCl2
Source: Alexandria via LeMat-Bulk
Functional: PBE-GGA
Structure: relaxed

The structure in POSCAR format:
```
BaOsCl2
1.0
-1.9170 1.5262 2.5049
0.1870 -2.9228 1.9239
6.9485 2.8156 3.6023
Os Ba Cl
1 1 2
Direct
0.0000 0.0000 0.4343
0.5000 0.5000 0.7415
0.5000 0.5000 0.3625
0.0000 0.0000 0.9617
```

Output
distance to the lowest polymorph of the same formula: 1.24 eV per formula unit
DOS at the Fermi energy: 1.83 states/eV per cell
crystal system: tetragonal
uncorrected formation energy: -8.4 kJ/mol of atoms
total magnetic moment: 0.00 μB per formula unit
calculated total energy: -17.20 eV per cell